Run i
Compound: SrP2O2
Source: Alexandria
Functional: PBE
Structure: relaxed

The structure in POSCAR format:
```
SrP2O2
1.0
4.0024 0.0000 0.0000
0.0000 4.0024 0.0000
0.0000 0.0000 4.4784
Sr O P
1 2 2
Direct
0.5000 0.5000 0.5000
0.0000 0.5000 0.0000
0.5000 0.0000 0.0000
0.0000 0.0000 0.0000
0.0000 0.0000 0.5000
```

Properties
- SG: P4/mmm, No. 123
- Density of states at the Fermi level: 2.3 states/eV per cell
- Spin magnetization: 0.000 μB/atom

Run ii
Compound: SrP2O2
Source: Alexandria
Functional: PBE
Structure: relaxed

The structure in POSCAR format:
```
SrP2O2
1.0
4.3611 0.0000 0.0000
0.0000 4.3611 0.0000
2.1806 2.1806 3.9890
Sr O P
1 2 2
Direct
0.0000 0.0000 0.0000
0.7500 0.2500 0.5000
0.2500 0.7500 0.5000
0.3728 0.3728 0.2543
0.6272 0.6272 0.7457
```

Properties
- SG: I4/mmm, No. 139
- Density of states at the Fermi level: 3.7 states/eV per cell
- Spin magnetization: 0.000 μB/atom

Run iii
Compound: SrP2O2
Source: Alexandria
Functional: PBE
Structure: relaxed

The structure in POSCAR format:
```
SrP2O2
1.0
3.7561 0.0000 0.0000
0.0000 3.7561 0.0000
0.0000 0.0000 6.3544
Sr O P
1 2 2
Direct
0.5000 0.5000 0.5000
0.0000 0.0000 0.0000
0.0000 0.0000 0.5000
0.0000 0.5000 0.0000
0.5000 0.0000 0.0000
```

Properties
- SG: P4/mmm, No. 123
- Density of states at the Fermi level: 3.1 states/eV per cell
- Spin magnetization: 0.000 μB/atom

Stability ranking, top and bottom: run i is the most stable and run iii is the least stable.

Run i
Compound: SrP2O2
Source: Alexandria
Functional: PBE
Structure: relaxed

The structure in POSCAR format:
```
SrP2O2
1.0
-0.3528 5.6581 0.7006
-3.7928 -0.7570 4.2037
3.2385 -0.1564 2.8938
Sr O P
1 2 2
Direct
0.0000 0.0000 0.0000
0.5000 0.5000 0.5000
0.0000 0.0000 0.5000
0.0000 0.5000 0.0000
0.5000 0.0000 0.0000
```

Properties
- SG: P4/mmm, No. 123
- Density of states at the Fermi level: 7.9 states/eV per cell
- Spin magnetization: 0.120 μB/atom

Run ii
Compound: SrP2O2
Source: Alexandria
Functional: PBE
Structure: relaxed

The structure in POSCAR format:
```
SrP2O2
1.0
-2.0673 1.4481 -3.5683
0.7629 -3.8157 -1.9905
-6.3867 -2.6467 2.6259
Sr O P
1 2 2
Direct
0.0000 0.0000 0.0000
0.0000 0.5000 0.0000
0.5000 0.0000 0.0000
0.5000 0.5000 0.5000
0.0000 0.0000 0.5000
```

Properties
- SG: P4/mmm, No. 123
- Density of states at the Fermi level: 2.4 states/eV per cell
- Spin magnetization: 0.400 μB/atom

Run iii
Compound: SrP2O2
Source: Alexandria
Functional: PBE
Structure: relaxed

The structure in POSCAR format:
```
SrP2O2
1.0
7.1554 0.0000 0.0000
0.0000 7.1554 0.0000
0.0000 0.0000 3.6649
Sr O P
2 4 4
Direct
0.0000 0.0000 0.0000
0.5000 0.5000 0.0000
0.3508 0.8508 0.5000
0.8508 0.6492 0.5000
0.6492 0.1492 0.5000
0.1492 0.3508 0.5000
0.3952 0.8952 0.0000
0.8952 0.6048 0.0000
0.6048 0.1048 0.0000
0.1048 0.3952 0.0000
```

Properties
- SG: P4/mbm, No. 127
- Density of states at the Fermi level: 3.5 states/eV per cell
- Spin magnetization: 0.000 μB/atom

Stability ranking, top and bottom: run iii is the most stable and run i is the least stable.